# 1
Computed, not measured: a relaxed structure of NaHfCr2Pt at the PBE level of DFT.

Values from the calculation:
As for the formation energy from the elements: 6.62 eV/f.u. The symmetry is No. 123. The crystal system is tetragonal.

Cell: 4.619 4.619 4.765 Å, 90.00 90.00 90.00°
Positions (direct):
Na  0.000  0.000  0.000
Hf  0.500  0.500  0.000
Cr  0.000  0.500  0.500
Cr  0.500  0.000  0.500
Pt  0.000  0.000  0.500

# 2
Computed, not measured: a relaxed structure of CsBePbSe2 at the PBE level of DFT.

Values from the calculation:
For the total energy, the calculation gives -35.68 eV/cell. The symmetry is No. 13. The crystal system is monoclinic.

Cell: 7.862 3.824 10.205 Å, 90.00 91.10 90.00°
Positions (direct):
Cs  0.000  0.028  0.250
Cs  0.000  0.972  0.750
Be  0.500  0.000  0.000
Be  0.500  0.000  0.500
Pb  0.500  0.497  0.750
Pb  0.500  0.503  0.250
Se  0.285  0.359  0.997
Se  0.285  0.641  0.497
Se  0.715  0.359  0.503
Se  0.715  0.641  0.003

# 3
Computed, not measured: a relaxed structure of Ba2Zn3CuF12 at the PBE level of DFT.

Values from the calculation:
For the total energy, the calculation gives -80.62 eV/cell. The symmetry is No. 166. The crystal system is trigonal.

Cell: 7.222 7.222 7.222 Å, 60.27 60.27 60.27°
Positions (direct):
Ba  0.126  0.126  0.126
Ba  0.874  0.874  0.874
Zn  0.000  0.500  0.500
Zn  0.500  0.000  0.500
Zn  0.500  0.500  0.000
Cu  0.500  0.500  0.500
F  0.157  0.157  0.591
F  0.157  0.591  0.157
F  0.159  0.593  0.593
F  0.407  0.407  0.841
F  0.407  0.841  0.407
F  0.409  0.843  0.843
F  0.591  0.157  0.157
F  0.593  0.159  0.593
F  0.593  0.593  0.159
F  0.841  0.407  0.407
F  0.843  0.409  0.843
F  0.843  0.843  0.409

# 4
Computed, not measured: a relaxed structure of HoH3O3 at the PBE level of DFT.

Values from the calculation:
For the total energy, the calculation gives -86.52 eV/cell. The symmetry is No. 176. The crystal system is hexagonal.

Cell: 6.322 6.322 3.520 Å, 90.00 90.00 120.00°
Positions (direct):
Ho  0.333  0.667  0.250
Ho  0.667  0.333  0.750
H  0.138  0.859  0.750
H  0.141  0.279  0.750
H  0.279  0.138  0.250
H  0.721  0.862  0.750
H  0.859  0.721  0.250
H  0.862  0.141  0.250
O  0.085  0.397  0.750
O  0.312  0.915  0.750
O  0.397  0.312  0.250
O  0.603  0.688  0.750
O  0.688  0.085  0.250
O  0.915  0.603  0.250

# 5
Computed, not measured: a relaxed structure of ErTmCo2 at the PBE level of DFT.

Values from the calculation:
As for the formation energy from the elements: -0.84 eV/f.u. The symmetry is No. 225. The crystal system is cubic.

Cell: 4.659 4.659 4.659 Å, 60.00 60.00 60.00°
Positions (direct):
Er  0.000  0.000  0.000
Tm  0.500  0.500  0.500
Co  0.250  0.250  0.250
Co  0.750  0.750  0.750

# 6
Computed, not measured: a relaxed structure of TlAgTeBr6 at the PBE level of DFT.

Values from the calculation:
For the total energy, the calculation gives -22.56 eV/cell. The symmetry is No. 149. The crystal system is trigonal.

Cell: 7.352 7.352 7.176 Å, 90.00 90.00 120.00°
Positions (direct):
Tl  0.000  0.000  0.000
Ag  0.333  0.667  0.500
Te  0.667  0.333  0.500
Br  0.373  0.016  0.720
Br  0.373  0.358  0.280
Br  0.642  0.016  0.280
Br  0.642  0.627  0.720
Br  0.984  0.358  0.720
Br  0.984  0.627  0.280

# 7
Computed, not measured: a relaxed structure of KY3Ni at the PBE level of DFT.

Values from the calculation:
As for the formation energy from the elements: 8.08 eV/f.u. The symmetry is No. 221. The crystal system is cubic.

Cell: 5.211 5.211 5.211 Å, 90.00 90.00 90.00°
Positions (direct):
K  0.000  0.000  0.000
Y  0.000  0.000  0.500
Y  0.000  0.500  0.000
Y  0.500  0.000  0.000
Ni  0.500  0.500  0.500

# 8
Computed, not measured: a relaxed structure of Li3TbAg4 at the PBE level of DFT.

Values from the calculation:
As for the formation energy from the elements: -1.60 eV/f.u. The symmetry is No. 51. The crystal system is orthorhombic.

Cell: 9.446 6.568 4.847 Å, 90.00 90.00 90.00°
Positions (direct):
Li  0.000  0.000  0.000
Li  0.250  0.000  0.407
Li  0.250  0.500  0.465
Li  0.500  0.000  0.000
Li  0.750  0.000  0.593
Li  0.750  0.500  0.535
Tb  0.000  0.500  0.000
Tb  0.500  0.500  0.000
Ag  0.000  0.221  0.500
Ag  0.000  0.779  0.500
Ag  0.250  0.218  0.903
Ag  0.250  0.782  0.903
Ag  0.500  0.221  0.500
Ag  0.500  0.779  0.500
Ag  0.750  0.218  0.097
Ag  0.750  0.782  0.097

# 9
Computed, not measured: a relaxed structure of CsReP2Ir at the PBE level of DFT.

Values from the calculation:
As for the formation energy from the elements: 17.86 eV/f.u. The symmetry is No. 123. The crystal system is tetragonal.

Cell: 5.035 5.035 4.955 Å, 90.00 90.00 90.00°
Positions (direct):
Cs  0.000  0.000  0.000
Re  0.500  0.500  0.500
P  0.000  0.500  0.000
P  0.500  0.000  0.000
Ir  0.000  0.000  0.500

# 10
Computed, not measured: a relaxed structure of Na3Pa4Se12 at the PBE level of DFT.

Values from the calculation:
For the total energy, the calculation gives -106.07 eV/cell. The symmetry is No. 204. The crystal system is cubic.

Cell: 9.249 9.249 9.249 Å, 109.47 109.47 109.47°
Positions (direct):
Na  0.000  0.500  0.500
Na  0.500  0.000  0.500
Na  0.500  0.500  0.000
Pa  0.000  0.000  0.500
Pa  0.000  0.500  0.000
Pa  0.500  0.000  0.000
Pa  0.500  0.500  0.500
Se  0.093  0.800  0.293
Se  0.200  0.293  0.494
Se  0.200  0.707  0.907
Se  0.293  0.093  0.800
Se  0.293  0.494  0.200
Se  0.494  0.200  0.293
Se  0.506  0.800  0.707
Se  0.707  0.506  0.800
Se  0.707  0.907  0.200
Se  0.800  0.293  0.093
Se  0.800  0.707  0.506
Se  0.907  0.200  0.707

# 11
Computed, not measured: a relaxed structure of HfCr2FeCl at the PBE level of DFT.

Values from the calculation:
For the total energy, the calculation gives -34.47 eV/cell. The symmetry is No. 123. The crystal system is tetragonal.

Cell: 4.442 4.442 4.365 Å, 90.00 90.00 90.00°
Positions (direct):
Hf  0.000  0.000  0.000
Cr  0.000  0.500  0.500
Cr  0.500  0.000  0.500
Fe  0.500  0.500  0.500
Cl  0.500  0.500  0.000

# 12
Computed, not measured: a relaxed structure of VFeSbRh2 at the PBE level of DFT.

Values from the calculation:
For the total energy, the calculation gives -33.10 eV/cell. The symmetry is No. 123. The crystal system is tetragonal.

Cell: 4.609 4.609 4.115 Å, 90.00 90.00 90.00°
Positions (direct):
V  0.000  0.000  0.000
Fe  0.000  0.000  0.500
Sb  0.500  0.500  0.000
Rh  0.000  0.500  0.500
Rh  0.500  0.000  0.500

# 13
Computed, not measured: a relaxed structure of AcCdSnH at the PBE level of DFT.

Values from the calculation:
For the total energy, the calculation gives -29.04 eV/cell. The symmetry is No. 129. The crystal system is tetragonal.

Cell: 4.643 4.643 8.453 Å, 90.00 90.00 90.00°
Positions (direct):
Ac  0.250  0.250  0.146
Ac  0.750  0.750  0.854
Cd  0.250  0.750  0.500
Cd  0.750  0.250  0.500
Sn  0.250  0.250  0.721
Sn  0.750  0.750  0.279
H  0.250  0.750  0.000
H  0.750  0.250  0.000

# 14
Computed, not measured: a relaxed structure of MnBePd2 at the PBE level of DFT.

Values from the calculation:
As for the formation energy from the elements: -1.13 eV/f.u. The symmetry is No. 123. The crystal system is tetragonal.

Cell: 4.028 4.028 3.322 Å, 90.00 90.00 90.00°
Positions (direct):
Mn  0.000  0.000  0.000
Be  0.500  0.500  0.000
Pd  0.000  0.500  0.500
Pd  0.500  0.000  0.500

# 15
Computed, not measured: a relaxed structure of TbSm6Ho3Tm2 at the PBE level of DFT.

Values from the calculation:
As for the formation energy from the elements: 0.18 eV/f.u. The symmetry is No. 12. The crystal system is monoclinic.

Cell: 6.197 6.197 11.766 Å, 95.02 95.02 119.98°
Positions (direct):
Tb  0.000  0.000  0.000
Sm  0.084  0.417  0.250
Sm  0.250  0.250  0.751
Sm  0.417  0.084  0.250
Sm  0.583  0.916  0.750
Sm  0.750  0.750  0.249
Sm  0.916  0.583  0.750
Ho  0.167  0.833  0.500
Ho  0.500  0.500  0.500
Ho  0.833  0.167  0.500
Tm  0.333  0.667  0.000
Tm  0.667  0.333  0.000

# 16
Computed, not measured: a relaxed structure of NaYCu2 at the PBE level of DFT.

Values from the calculation:
As for the formation energy from the elements: 0.35 eV/f.u. The symmetry is No. 225. The crystal system is cubic.

Cell: 4.835 4.835 4.835 Å, 60.00 60.00 60.00°
Positions (direct):
Na  0.000  0.000  0.000
Y  0.500  0.500  0.500
Cu  0.250  0.250  0.250
Cu  0.750  0.750  0.750

# 17
Computed, not measured: a relaxed structure of Dy3Sn2Ru at the PBE level of DFT.

Values from the calculation:
As for the formation energy from the elements: -3.77 eV/f.u. The symmetry is No. 62. The crystal system is orthorhombic.

Cell: 12.464 4.351 11.540 Å, 90.00 90.00 90.00°
Positions (direct):
Dy  0.055  0.250  0.128
Dy  0.121  0.750  0.545
Dy  0.245  0.250  0.785
Dy  0.255  0.750  0.285
Dy  0.379  0.250  0.045
Dy  0.445  0.750  0.628
Dy  0.555  0.250  0.372
Dy  0.621  0.750  0.955
Dy  0.745  0.250  0.715
Dy  0.755  0.750  0.215
Dy  0.879  0.250  0.455
Dy  0.945  0.750  0.872
Sn  0.005  0.250  0.694
Sn  0.189  0.750  0.993
Sn  0.311  0.250  0.493
Sn  0.495  0.750  0.194
Sn  0.505  0.250  0.806
Sn  0.689  0.750  0.507
Sn  0.811  0.250  0.007
Sn  0.995  0.750  0.306
Ru  0.126  0.250  0.366
Ru  0.374  0.750  0.866
Ru  0.626  0.250  0.134
Ru  0.874  0.750  0.634

# 18
Computed, not measured: a relaxed structure of Sr2SnAu2 at the PBE level of DFT.

Values from the calculation:
As for the formation energy from the elements: -2.81 eV/f.u. The symmetry is No. 139. The crystal system is tetragonal.

Cell: 9.827 9.827 9.827 Å, 156.72 156.72 33.15°
Positions (direct):
Sr  0.112  0.112  0.000
Sr  0.888  0.888  0.000
Sn  0.500  0.500  0.000
Au  0.250  0.750  0.500
Au  0.750  0.250  0.500

# 19
Computed, not measured: a relaxed structure of Tl2BiPb5 at the PBE level of DFT.

Values from the calculation:
As for the formation energy from the elements: 0.40 eV/f.u. The symmetry is No. 8. The crystal system is monoclinic.

Cell: 6.946 6.946 6.945 Å, 105.42 105.42 117.88°
Positions (direct):
Tl  0.250  0.750  0.000
Tl  0.750  0.250  0.000
Bi  0.250  0.250  0.501
Pb  0.251  0.749  0.500
Pb  0.252  0.252  0.003
Pb  0.749  0.251  0.500
Pb  0.750  0.750  0.000
Pb  0.752  0.752  0.501

# 20
Computed, not measured: a relaxed structure of SrPuAu at the PBE level of DFT.

Values from the calculation:
As for the formation energy from the elements: -1.23 eV/f.u. The symmetry is No. 129. The crystal system is tetragonal.

Cell: 4.524 4.524 8.782 Å, 90.00 90.00 90.00°
Positions (direct):
Sr  0.250  0.250  0.141
Sr  0.750  0.750  0.859
Pu  0.250  0.750  0.500
Pu  0.750  0.250  0.500
Au  0.250  0.250  0.753
Au  0.750  0.750  0.247

# 21
Computed, not measured: a relaxed structure of Dy2PaAl3Ga6 at the PBE level of DFT.

Values from the calculation:
As for the formation energy from the elements: -3.22 eV/f.u. The symmetry is No. 123. The crystal system is tetragonal.

Cell: 4.163 4.163 13.988 Å, 90.00 90.00 90.00°
Positions (direct):
Dy  0.000  0.000  0.131
Dy  0.000  0.000  0.869
Pa  0.000  0.000  0.500
Al  0.500  0.500  0.000
Al  0.500  0.500  0.415
Al  0.500  0.500  0.585
Ga  0.000  0.500  0.305
Ga  0.000  0.500  0.695
Ga  0.500  0.000  0.305
Ga  0.500  0.000  0.695
Ga  0.500  0.500  0.180
Ga  0.500  0.500  0.820

# 22
Computed, not measured: a relaxed structure of FePPb at the PBE level of DFT.

Values from the calculation:
As for the formation energy from the elements: 1.43 eV/f.u. The symmetry is No. 216. The crystal system is cubic.

Cell: 4.348 4.348 4.348 Å, 60.00 60.00 60.00°
Positions (direct):
Fe  0.000  0.000  0.000
P  0.250  0.250  0.250
Pb  0.750  0.750  0.750

# 23
Computed, not measured: a relaxed structure of YNiSb2 at the PBE level of DFT.

Values from the calculation:
For the total energy, the calculation gives -44.87 eV/cell. The symmetry is No. 122. The crystal system is tetragonal.

Cell: 6.275 6.275 6.275 Å, 104.34 104.34 120.31°
Positions (direct):
Y  0.000  0.000  0.000
Y  0.750  0.250  0.500
Ni  0.250  0.750  0.500
Ni  0.500  0.500  0.000
Sb  0.189  0.625  0.064
Sb  0.375  0.439  0.564
Sb  0.561  0.125  0.936
Sb  0.875  0.811  0.436

| no. | density of states at the Fermi level (states/eV/f.u.) | M_tot (μB/f.u.) |
| --- | --- | --- |
| 1 | 8.526 | 0.02 |
| 2 | 0.856 | 0.00 |
| 3 | 6.835 | 1.00 |
| 4 | 0.000 | 0.00 |
| 5 | 1.315 | 0.67 |
| 6 | 0.000 | 0.00 |
| 7 | 4.141 | 0.00 |
| 8 | 2.722 | 0.00 |
| 9 | 10.417 | 0.03 |
| 10 | 12.343 | 0.00 |
| 11 | 6.853 | 4.27 |
| 12 | 7.566 | 1.64 |
| 13 | 0.400 | 0.00 |
| 14 | 1.315 | 4.55 |
| 15 | 13.977 | 0.00 |
| 16 | 2.970 | 0.00 |
| 17 | 4.198 | 0.00 |
| 18 | 1.899 | 0.00 |
| 19 | 6.826 | 0.00 |
| 20 | 7.263 | 6.66 |
| 21 | 8.943 | 0.65 |
| 22 | 4.187 | 2.11 |
| 23 | 3.601 | 0.00 |